1.
A plane-wave DFT calculation with PBE was carried out for crystalline La4TlSnC at its relaxed geometry.

Results
The calculated total energy is -5.444 eV per atom. The value obtained for the formation energy is -0.400 eV per atom.

abc: 7.3101 16.6116 7.3013
angles: 90.00 90.00 90.00
Closest atoms and distances in Å follow each position.
Space group Cmcm (No. 63)
Unique sites:
La1 0.0000 0.0845 0.2500 [4 per cell]  1 C 2.88
La2 0.0000 0.4119 0.2500 [4 per cell]  1 C 2.56
La3 0.2500 0.2500 0.0000 [8 per cell]  2 C 2.59
Tl1 0.0000 0.3870 0.7500 [4 per cell]  9 La 3.34-3.69
Sn1 0.0000 0.1132 0.7500 [4 per cell]  5 La 3.28-3.44
C1 0.0000 0.2576 0.2500 [4 per cell]  5 La 2.56-2.59

2.
A plane-wave DFT calculation with PBE was carried out for crystalline La2TmSnC at its relaxed geometry.

Results
The calculated total energy is -6.019 eV per atom. The value obtained for the formation energy is -0.509 eV per atom.

abc: 5.2188 5.2188 4.8662
angles: 90.00 90.00 90.00
Closest atoms and distances in Å follow each position.
Space group P4/mmm (No. 123)
Unique sites:
La1 0.0000 0.5000 0.0000 [2 per cell]  2 C 2.61
Tm1 0.0000 0.0000 0.5000 [1 per cell]  2 C 2.43
Sn1 0.5000 0.5000 0.5000 [1 per cell]  8 La 3.57, 4 Tm 3.69
C1 0.0000 0.0000 0.0000 [1 per cell]  2 Tm 2.43, 4 La 2.61

3.
A plane-wave DFT calculation with PBE was carried out for crystalline La2Tm2Sn2C at its relaxed geometry.

Results
The calculated total energy is -5.905 eV per atom. The value obtained for the formation energy is -0.759 eV per atom.

abc: 4.8236 4.8236 16.7351
angles: 90.00 90.00 90.00
Closest atoms and distances in Å follow each position.
Space group I4/mmm (No. 139)
Unique sites:
La1 0.0000 0.0000 0.1603 [4 per cell]  1 C 2.68
Tm1 0.0000 0.5000 0.0000 [4 per cell]  2 C 2.41
Sn1 0.0000 0.0000 0.3679 [4 per cell]  4 Tm 3.27, 5 La 3.44-3.47
C1 0.0000 0.0000 0.0000 [2 per cell]  4 Tm 2.41, 2 La 2.68

4.
A plane-wave DFT calculation with PBE was carried out for crystalline La2YSnC at its relaxed geometry.

Results
The calculated total energy is -6.429 eV per atom. The value obtained for the formation energy is -0.520 eV per atom.

abc: 5.2121 5.2121 4.9537
angles: 90.00 90.00 90.00
Closest atoms and distances in Å follow each position.
Space group P4/mmm (No. 123)
Unique sites:
La1 0.0000 0.5000 0.0000 [2 per cell]  2 C 2.61
Y1 0.0000 0.0000 0.5000 [1 per cell]  2 C 2.48
Sn1 0.5000 0.5000 0.5000 [1 per cell]  8 La 3.60, 4 Y 3.69
C1 0.0000 0.0000 0.0000 [1 per cell]  2 Y 2.48, 4 La 2.61

5.
A plane-wave DFT calculation with PBE was carried out for crystalline LaY2SnC at its relaxed geometry.

Results
The calculated total energy is -6.786 eV per atom. The value obtained for the formation energy is -0.569 eV per atom.

abc: 4.9452 4.9452 5.1746
angles: 90.00 90.00 90.00
Closest atoms and distances in Å follow each position.
Space group P4/mmm (No. 123)
Unique sites:
La1 0.0000 0.0000 0.0000 [1 per cell]  2 C 2.59
Y1 0.0000 0.5000 0.5000 [2 per cell]  2 C 2.47
Sn1 0.5000 0.5000 0.0000 [1 per cell]  4 La 3.50, 8 Y 3.58
C1 0.0000 0.0000 0.5000 [1 per cell]  4 Y 2.47, 2 La 2.59

6.
A plane-wave DFT calculation with PBE was carried out for crystalline SrLaC2 at its relaxed geometry.

Results
The calculated total energy is -5.316 eV per atom. The value obtained for the formation energy is 0.948 eV per atom. Its relative energy among the computed polymorphs is 0.0 meV per atom.

abc: 6.7306 6.7306 7.9367
angles: 90.00 90.00 90.00
Closest atoms and distances in Å follow each position.
Space group I-42d (No. 122)
Unique sites:
Sr1 0.0000 0.0000 0.0000 [4 per cell]  4 C 2.72
La1 0.0000 0.0000 0.5000 [4 per cell]  4 C 2.45
C1 0.2192 0.2500 0.6250 [8 per cell]  2 La 2.45, 2 Sr 2.72